First-principles (PBE) data for an optimized crystal structure of BiPbW3, as listed in the Alexandria database.

The structure in CIF format:
```
data_BiPbW3
_chemical_formula_sum 'Bi1 Pb1 W3'
_symmetry_space_group_name_H-M 'P 1'
_symmetry_Int_Tables_number 1
_cell_length_a 5.0828
_cell_length_b 5.0828
_cell_length_c 5.0828
_cell_angle_alpha 90.00
_cell_angle_beta 90.00
_cell_angle_gamma 90.00
loop_
_symmetry_equiv_pos_as_xyz
'x,y,z'
loop_
_atom_site_label
_atom_site_type_symbol
_atom_site_fract_x
_atom_site_fract_y
_atom_site_fract_z
_atom_site_occupancy
Bi1 Bi 0.0000 0.0000 0.0000 1
Pb1 Pb 0.5000 0.5000 0.5000 1
W1 W 0.0000 0.0000 0.5000 1
W2 W 0.0000 0.5000 0.0000 1
W3 W 0.5000 0.0000 0.0000 1
```

* formation energy from the elements: 2.927 eV/atom
* ΔE to the lowest computed polymorph: 0.000 eV per formula unit
* spin magnetization: 0.00 μB/cell
* total DFT energy (no corrections): -6.36 eV/atom

***

First-principles (PBE) data for an optimized crystal structure of Bi3PbW, as listed in the Alexandria database.

The structure in CIF format:
```
data_Bi3PbW
_chemical_formula_sum 'Bi3 Pb1 W1'
_symmetry_space_group_name_H-M 'P 1'
_symmetry_Int_Tables_number 1
_cell_length_a 5.7484
_cell_length_b 5.7484
_cell_length_c 5.7484
_cell_angle_alpha 90.00
_cell_angle_beta 90.00
_cell_angle_gamma 90.00
loop_
_symmetry_equiv_pos_as_xyz
'x,y,z'
loop_
_atom_site_label
_atom_site_type_symbol
_atom_site_fract_x
_atom_site_fract_y
_atom_site_fract_z
_atom_site_occupancy
Bi1 Bi 0.0000 0.0000 0.5000 1
Bi2 Bi 0.0000 0.5000 0.0000 1
Bi3 Bi 0.5000 0.0000 0.0000 1
Pb1 Pb 0.0000 0.0000 0.0000 1
W1 W 0.5000 0.5000 0.5000 1
```

* formation energy from the elements: 2.184 eV/atom
* ΔE to the lowest computed polymorph: 7.207 eV per formula unit
* spin magnetization: 0.24 μB/cell
* total DFT energy (no corrections): -3.48 eV/atom

***

First-principles (PBE) data for an optimized crystal structure of Bi3PbW, as listed in the Alexandria database.

The structure in CIF format:
```
data_Bi3PbW
_chemical_formula_sum 'Bi3 Pb1 W1'
_symmetry_space_group_name_H-M 'P 1'
_symmetry_Int_Tables_number 1
_cell_length_a 5.4564
_cell_length_b 5.4564
_cell_length_c 5.4564
_cell_angle_alpha 90.00
_cell_angle_beta 90.00
_cell_angle_gamma 90.00
loop_
_symmetry_equiv_pos_as_xyz
'x,y,z'
loop_
_atom_site_label
_atom_site_type_symbol
_atom_site_fract_x
_atom_site_fract_y
_atom_site_fract_z
_atom_site_occupancy
Bi1 Bi 0.0000 0.0000 0.5000 1
Bi2 Bi 0.0000 0.5000 0.0000 1
Bi3 Bi 0.5000 0.0000 0.0000 1
Pb1 Pb 0.5000 0.5000 0.5000 1
W1 W 0.0000 0.0000 0.0000 1
```

* formation energy from the elements: 0.742 eV/atom
* ΔE to the lowest computed polymorph: 0.000 eV per formula unit
* spin magnetization: 0.65 μB/cell
* total DFT energy (no corrections): -4.92 eV/atom

***

First-principles (PBE) data for an optimized crystal structure of ZnBiPb2W, as listed in the Alexandria database.

The structure in CIF format:
```
data_ZnBiPb2W
_chemical_formula_sum 'Zn1 Bi1 Pb2 W1'
_symmetry_space_group_name_H-M 'P 1'
_symmetry_Int_Tables_number 1
_cell_length_a 5.2855
_cell_length_b 5.2855
_cell_length_c 5.0682
_cell_angle_alpha 90.00
_cell_angle_beta 90.00
_cell_angle_gamma 90.00
loop_
_symmetry_equiv_pos_as_xyz
'x,y,z'
loop_
_atom_site_label
_atom_site_type_symbol
_atom_site_fract_x
_atom_site_fract_y
_atom_site_fract_z
_atom_site_occupancy
Zn1 Zn 0.0000 0.0000 0.0000 1
Bi1 Bi 0.5000 0.5000 0.5000 1
Pb1 Pb 0.0000 0.5000 0.0000 1
Pb2 Pb 0.5000 0.0000 0.0000 1
W1 W 0.0000 0.0000 0.5000 1
```

* formation energy from the elements: 1.118 eV/atom
* spin magnetization: 2.99 μB/cell
* total DFT energy (no corrections): -3.99 eV/atom

***

First-principles (PBE) data for an optimized crystal structure of ZrBi2PbW, as listed in the Alexandria database.

The structure in CIF format:
```
data_ZrBi2PbW
_chemical_formula_sum 'Zr1 Bi2 Pb1 W1'
_symmetry_space_group_name_H-M 'P 1'
_symmetry_Int_Tables_number 1
_cell_length_a 5.4009
_cell_length_b 5.4009
_cell_length_c 5.3826
_cell_angle_alpha 90.00
_cell_angle_beta 90.00
_cell_angle_gamma 90.00
loop_
_symmetry_equiv_pos_as_xyz
'x,y,z'
loop_
_atom_site_label
_atom_site_type_symbol
_atom_site_fract_x
_atom_site_fract_y
_atom_site_fract_z
_atom_site_occupancy
Zr1 Zr 0.0000 0.0000 0.0000 1
Bi1 Bi 0.0000 0.5000 0.5000 1
Bi2 Bi 0.5000 0.0000 0.5000 1
Pb1 Pb 0.5000 0.5000 0.0000 1
W1 W 0.5000 0.5000 0.5000 1
```

* formation energy from the elements: 1.137 eV/atom
* ΔE to the lowest computed polymorph: 1.977 eV per formula unit
* spin magnetization: 2.17 μB/cell
* total DFT energy (no corrections): -5.46 eV/atom

***

First-principles (PBE) data for an optimized crystal structure of ZrBi2PbW, as listed in the Alexandria database.

The structure in CIF format:
```
data_ZrBi2PbW
_chemical_formula_sum 'Zr1 Bi2 Pb1 W1'
_symmetry_space_group_name_H-M 'P 1'
_symmetry_Int_Tables_number 1
_cell_length_a 5.3828
_cell_length_b 5.3828
_cell_length_c 5.2229
_cell_angle_alpha 90.00
_cell_angle_beta 90.00
_cell_angle_gamma 90.00
loop_
_symmetry_equiv_pos_as_xyz
'x,y,z'
loop_
_atom_site_label
_atom_site_type_symbol
_atom_site_fract_x
_atom_site_fract_y
_atom_site_fract_z
_atom_site_occupancy
Zr1 Zr 0.0000 0.0000 0.0000 1
Bi1 Bi 0.0000 0.5000 0.5000 1
Bi2 Bi 0.5000 0.0000 0.5000 1
Pb1 Pb 0.5000 0.5000 0.0000 1
W1 W 0.0000 0.0000 0.5000 1
```

* formation energy from the elements: 0.742 eV/atom
* ΔE to the lowest computed polymorph: 0.000 eV per formula unit
* spin magnetization: 0.00 μB/cell
* total DFT energy (no corrections): -5.85 eV/atom

***

First-principles (PBE) data for an optimized crystal structure of Y2Bi2Pb, as listed in the Alexandria database.

The structure in CIF format:
```
data_Y2Bi2Pb
_chemical_formula_sum 'Y4 Bi4 Pb2'
_symmetry_space_group_name_H-M 'P 1'
_symmetry_Int_Tables_number 1
_cell_length_a 8.4600
_cell_length_b 8.4600
_cell_length_c 4.2637
_cell_angle_alpha 90.00
_cell_angle_beta 90.00
_cell_angle_gamma 90.00
loop_
_symmetry_equiv_pos_as_xyz
'x,y,z'
loop_
_atom_site_label
_atom_site_type_symbol
_atom_site_fract_x
_atom_site_fract_y
_atom_site_fract_z
_atom_site_occupancy
Y1 Y 0.1513 0.3487 0.0000 1
Y2 Y 0.3487 0.8487 0.0000 1
Y3 Y 0.6513 0.1513 0.0000 1
Y4 Y 0.8487 0.6513 0.0000 1
Bi1 Bi 0.1574 0.6574 0.5000 1
Bi2 Bi 0.3426 0.1574 0.5000 1
Bi3 Bi 0.6574 0.8426 0.5000 1
Bi4 Bi 0.8426 0.3426 0.5000 1
Pb1 Pb 0.0000 0.0000 0.0000 1
Pb2 Pb 0.5000 0.5000 0.0000 1
```

* formation energy from the elements: -0.520 eV/atom
* ΔE to the lowest computed polymorph: 0.083 eV per formula unit
* spin magnetization: 0.00 μB/cell
* total DFT energy (no corrections): -5.40 eV/atom

***

First-principles (PBE) data for an optimized crystal structure of Y2BiPb, as listed in the Alexandria database.

The structure in CIF format:
```
data_Y2BiPb
_chemical_formula_sum 'Y4 Bi2 Pb2'
_symmetry_space_group_name_H-M 'P 1'
_symmetry_Int_Tables_number 1
_cell_length_a 6.9082
_cell_length_b 6.9082
_cell_length_c 6.9082
_cell_angle_alpha 105.03
_cell_angle_beta 105.03
_cell_angle_gamma 118.77
loop_
_symmetry_equiv_pos_as_xyz
'x,y,z'
loop_
_atom_site_label
_atom_site_type_symbol
_atom_site_fract_x
_atom_site_fract_y
_atom_site_fract_z
_atom_site_occupancy
Y1 Y 0.1252 0.6250 0.0002 1
Y2 Y 0.3750 0.3752 0.5002 1
Y3 Y 0.6248 0.1250 0.9998 1
Y4 Y 0.8750 0.8748 0.4998 1
Bi1 Bi 0.0000 0.0000 0.0000 1
Bi2 Bi 0.7500 0.2500 0.5000 1
Pb1 Pb 0.2500 0.7500 0.5000 1
Pb2 Pb 0.5000 0.5000 0.0000 1
```

* formation energy from the elements: -0.456 eV/atom
* ΔE to the lowest computed polymorph: 0.987 eV per formula unit
* spin magnetization: 0.45 μB/cell
* total DFT energy (no corrections): -5.59 eV/atom

***

First-principles (PBE) data for an optimized crystal structure of Y2BiPb, as listed in the Alexandria database.

The structure in CIF format:
```
data_Y2BiPb
_chemical_formula_sum 'Y2 Bi1 Pb1'
_symmetry_space_group_name_H-M 'P 1'
_symmetry_Int_Tables_number 1
_cell_length_a 8.4996
_cell_length_b 8.4996
_cell_length_c 8.4996
_cell_angle_alpha 29.06
_cell_angle_beta 29.06
_cell_angle_gamma 29.06
loop_
_symmetry_equiv_pos_as_xyz
'x,y,z'
loop_
_atom_site_label
_atom_site_type_symbol
_atom_site_fract_x
_atom_site_fract_y
_atom_site_fract_z
_atom_site_occupancy
Y1 Y 0.0000 0.0000 0.0000 1
Y2 Y 0.1750 0.1750 0.1750 1
Bi1 Bi 0.5861 0.5861 0.5861 1
Pb1 Pb 0.7552 0.7552 0.7552 1
```

* formation energy from the elements: -0.553 eV/atom
* ΔE to the lowest computed polymorph: 0.600 eV per formula unit
* spin magnetization: 0.00 μB/cell
* total DFT energy (no corrections): -5.68 eV/atom

***

First-principles (PBE) data for an optimized crystal structure of YBiPb3, as listed in the Alexandria database.

The structure in CIF format:
```
data_YBiPb3
_chemical_formula_sum 'Y1 Bi1 Pb3'
_symmetry_space_group_name_H-M 'P 1'
_symmetry_Int_Tables_number 1
_cell_length_a 5.9220
_cell_length_b 5.9220
_cell_length_c 5.9220
_cell_angle_alpha 90.00
_cell_angle_beta 90.00
_cell_angle_gamma 90.00
loop_
_symmetry_equiv_pos_as_xyz
'x,y,z'
loop_
_atom_site_label
_atom_site_type_symbol
_atom_site_fract_x
_atom_site_fract_y
_atom_site_fract_z
_atom_site_occupancy
Y1 Y 0.0000 0.0000 0.0000 1
Bi1 Bi 0.5000 0.5000 0.5000 1
Pb1 Pb 0.0000 0.5000 0.5000 1
Pb2 Pb 0.5000 0.0000 0.5000 1
Pb3 Pb 0.5000 0.5000 0.0000 1
```

* formation energy from the elements: 0.643 eV/atom
* ΔE to the lowest computed polymorph: 0.711 eV per formula unit
* spin magnetization: 0.00 μB/cell
* total DFT energy (no corrections): -3.65 eV/atom

***

First-principles (PBE) data for an optimized crystal structure of Y4Bi2Pb, as listed in the Alexandria database.

The structure in CIF format:
```
data_Y4Bi2Pb
_chemical_formula_sum 'Y4 Bi2 Pb1'
_symmetry_space_group_name_H-M 'P 1'
_symmetry_Int_Tables_number 1
_cell_length_a 9.0530
_cell_length_b 9.0530
_cell_length_c 9.0530
_cell_angle_alpha 143.83
_cell_angle_beta 143.83
_cell_angle_gamma 52.08
loop_
_symmetry_equiv_pos_as_xyz
'x,y,z'
loop_
_atom_site_label
_atom_site_type_symbol
_atom_site_fract_x
_atom_site_fract_y
_atom_site_fract_z
_atom_site_occupancy
Y1 Y 0.0000 0.5000 0.5000 1
Y2 Y 0.1823 0.1823 0.0000 1
Y3 Y 0.5000 0.0000 0.5000 1
Y4 Y 0.8177 0.8177 0.0000 1
Bi1 Bi 0.3700 0.3700 0.0000 1
Bi2 Bi 0.6300 0.6300 0.0000 1
Pb1 Pb 0.0000 0.0000 0.0000 1
```

* formation energy from the elements: -0.159 eV/atom
* ΔE to the lowest computed polymorph: 2.684 eV per formula unit
* spin magnetization: 0.00 μB/cell
* total DFT energy (no corrections): -5.49 eV/atom

***

First-principles (PBE) data for an optimized crystal structure of Y2Bi2Pb, as listed in the Alexandria database.

The structure in CIF format:
```
data_Y2Bi2Pb
_chemical_formula_sum 'Y4 Bi4 Pb2'
_symmetry_space_group_name_H-M 'P 1'
_symmetry_Int_Tables_number 1
_cell_length_a 8.6551
_cell_length_b 8.6551
_cell_length_c 4.1453
_cell_angle_alpha 90.00
_cell_angle_beta 90.00
_cell_angle_gamma 90.00
loop_
_symmetry_equiv_pos_as_xyz
'x,y,z'
loop_
_atom_site_label
_atom_site_type_symbol
_atom_site_fract_x
_atom_site_fract_y
_atom_site_fract_z
_atom_site_occupancy
Y1 Y 0.1511 0.3489 0.0000 1
Y2 Y 0.3489 0.8489 0.0000 1
Y3 Y 0.6511 0.1511 0.0000 1
Y4 Y 0.8489 0.6511 0.0000 1
Bi1 Bi 0.1486 0.6486 0.5000 1
Bi2 Bi 0.3514 0.1486 0.5000 1
Bi3 Bi 0.6486 0.8514 0.5000 1
Bi4 Bi 0.8514 0.3514 0.5000 1
Pb1 Pb 0.0000 0.0000 0.5000 1
Pb2 Pb 0.5000 0.5000 0.5000 1
```

* formation energy from the elements: -0.537 eV/atom
* ΔE to the lowest computed polymorph: 0.000 eV per formula unit
* spin magnetization: 0.00 μB/cell
* total DFT energy (no corrections): -5.42 eV/atom

***

First-principles (PBE) data for an optimized crystal structure of YBiPb, as listed in the Alexandria database.

The structure in CIF format:
```
data_YBiPb
_chemical_formula_sum 'Y1 Bi1 Pb1'
_symmetry_space_group_name_H-M 'P 1'
_symmetry_Int_Tables_number 1
_cell_length_a 8.8048
_cell_length_b 8.8048
_cell_length_c 8.8048
_cell_angle_alpha 157.41
_cell_angle_beta 157.41
_cell_angle_gamma 32.15
loop_
_symmetry_equiv_pos_as_xyz
'x,y,z'
loop_
_atom_site_label
_atom_site_type_symbol
_atom_site_fract_x
_atom_site_fract_y
_atom_site_fract_z
_atom_site_occupancy
Y1 Y 0.0000 0.0000 0.0000 1
Bi1 Bi 0.1883 0.1883 0.0000 1
Pb1 Pb 0.3745 0.3745 0.0000 1
```

* formation energy from the elements: -0.003 eV/atom
* ΔE to the lowest computed polymorph: 0.702 eV per formula unit
* spin magnetization: 0.04 μB/cell
* total DFT energy (no corrections): -4.69 eV/atom

***

First-principles (PBE) data for an optimized crystal structure of Y2BiPb, as listed in the Alexandria database.

The structure in CIF format:
```
data_Y2BiPb
_chemical_formula_sum 'Y4 Bi2 Pb2'
_symmetry_space_group_name_H-M 'P 1'
_symmetry_Int_Tables_number 1
_cell_length_a 12.3817
_cell_length_b 12.3817
_cell_length_c 4.4411
_cell_angle_alpha 90.00
_cell_angle_beta 90.00
_cell_angle_gamma 158.90
loop_
_symmetry_equiv_pos_as_xyz
'x,y,z'
loop_
_atom_site_label
_atom_site_type_symbol
_atom_site_fract_x
_atom_site_fract_y
_atom_site_fract_z
_atom_site_occupancy
Y1 Y 0.0613 0.9387 0.7500 1
Y2 Y 0.3163 0.6837 0.7500 1
Y3 Y 0.6837 0.3163 0.2500 1
Y4 Y 0.9387 0.0613 0.2500 1
Bi1 Bi 0.1877 0.8123 0.7500 1
Bi2 Bi 0.8123 0.1877 0.2500 1
Pb1 Pb 0.4503 0.5497 0.7500 1
Pb2 Pb 0.5497 0.4503 0.2500 1
```

* formation energy from the elements: -0.703 eV/atom
* ΔE to the lowest computed polymorph: 0.000 eV per formula unit
* spin magnetization: 0.00 μB/cell
* total DFT energy (no corrections): -5.83 eV/atom